First-principles (PBE) data for a relaxed CuAgBi2 crystal, as listed in Alexandria.

Properties
excess energy over the best structure of this formula in the dataset	0.00	eV per formula unit
N(E_F)	2.52	states/eV/f.u.
ΔH_f (0 K)	256	meV per atom

```
data_CuAgBi2
_cell_length_a 7.196
_cell_length_b 7.196
_cell_length_c 7.196
_cell_angle_alpha 90.00
_cell_angle_beta 90.00
_cell_angle_gamma 90.00
_space_group_name_H-M_alt 'F m -3 m'
_space_group_IT_number 225
_space_group_name_Hall '-F 4 2 3'
loop_
_atom_site_label
_atom_site_type_symbol
_atom_site_fract_x
_atom_site_fract_y
_atom_site_fract_z
Cu1 Cu 0.000 0.000 0.000
Ag1 Ag 0.000 0.000 0.500
Bi1 Bi 0.250 0.250 0.250
```